{"formula": "Hf2ReNi", "functional": "PBE-GGA", "state": "optimized geometry", "formation_enthalpy_0k_kj_per_mol_atoms": -34.9, "e_above_lowest_polymorph_kj_per_mol_fu": 27, "m_tot_mub_per_fu": 0.00, "lattice_angstrom": [[-4.117, -5.064, -0.660], [6.199, -4.869, -1.310], [0.337, -0.935, 5.075]], "species": ["Hf", "Hf", "Hf", "Hf", "Hf", "Hf", "Hf", "Hf", "Ni", "Ni", "Ni", "Ni", "Re", "Re", "Re", "Re"], "fractional_positions": [[0.102, 0.055, 0.250], [0.102, 0.445, 0.250], [0.602, 0.555, 0.250], [0.602, 0.945, 0.250], [0.398, 0.055, 0.750], [0.398, 0.445, 0.750], [0.898, 0.555, 0.750], [0.898, 0.945, 0.750], [0.412, 0.250, 0.246], [0.912, 0.750, 0.254], [0.088, 0.250, 0.746], [0.588, 0.750, 0.754], [0.250, 0.750, 0.004], [0.750, 0.250, 0.496], [0.250, 0.750, 0.504], [0.750, 0.250, 0.996]]}


{"formula": "LiCu2As", "functional": "PBE-GGA", "state": "optimized geometry", "total_energy_ev_per_atom": -3.6632, "lattice_angstrom": [[4.241, 0.000, 0.000], [-2.121, 3.673, 0.000], [0.000, 0.000, 7.224]], "species": ["As", "As", "Cu", "Cu", "Cu", "Cu", "Li", "Li"], "fractional_positions": [[0.667, 0.333, 0.250], [0.333, 0.667, 0.750], [0.333, 0.667, 0.081], [0.333, 0.667, 0.419], [0.667, 0.333, 0.581], [0.667, 0.333, 0.919], [0.000, 0.000, 0.250], [0.000, 0.000, 0.750]]}


{"formula": "Er3Te5Pd", "functional": "PBE-GGA", "state": "optimized geometry", "e_above_lowest_polymorph_kj_per_mol_fu": 98, "m_tot_mub_per_fu": 0.01, "lattice_angstrom": [[8.582, 0.000, 0.000], [-4.291, 7.433, 0.000], [0.000, 0.000, 3.762]], "species": ["Er", "Er", "Er", "Pd", "Te", "Te", "Te", "Te", "Te"], "fractional_positions": [[0.640, 0.000, 0.000], [0.360, 0.360, 0.000], [0.000, 0.640, 0.000], [0.000, 0.000, 0.000], [0.244, 0.000, 0.500], [0.000, 0.244, 0.500], [0.667, 0.333, 0.500], [0.333, 0.667, 0.500], [0.756, 0.756, 0.500]]}


{"formula": "UCoTc", "functional": "PBE-GGA", "state": "optimized geometry", "formation_enthalpy_0k_kj_per_mol_atoms": 45.7, "e_above_lowest_polymorph_kj_per_mol_fu": 57, "m_tot_mub_per_fu": 0.01, "lattice_angstrom": [[2.761, -0.004, 3.231], [-0.744, 2.391, 3.435], [-1.044, -1.841, 3.686]], "species": ["Co", "Tc", "U"], "fractional_positions": [[0.250, 0.250, 0.250], [0.750, 0.750, 0.750], [0.000, 0.000, 0.000]]}


{"formula": "TmHfAu6", "functional": "PBE-GGA", "state": "optimized geometry", "formation_enthalpy_0k_kj_per_mol_atoms": -58.5, "m_tot_mub_per_fu": 0.00, "lattice_angstrom": [[-1.502, -3.784, -2.745], [5.605, -0.551, -2.309], [1.215, -3.171, 3.707]], "species": ["Au", "Au", "Au", "Au", "Au", "Au", "Hf", "Tm"], "fractional_positions": [[0.000, 0.500, 0.166], [0.500, 0.239, 0.336], [0.500, 0.761, 0.336], [0.000, 0.245, 0.661], [0.000, 0.755, 0.661], [0.500, 0.000, 0.846], [0.000, 0.000, 0.154], [0.500, 0.500, 0.840]]}


{"formula": "MgRe", "functional": "PBE-GGA", "state": "optimized geometry", "e_above_lowest_polymorph_kj_per_mol_fu": 0, "m_tot_mub_per_fu": 0.00, "lattice_angstrom": [[-3.667, -2.257, 0.693], [3.804, -6.009, 0.557], [0.407, 0.656, 4.292]], "species": ["Mg", "Mg", "Mg", "Mg", "Re", "Re", "Re", "Re"], "fractional_positions": [[0.417, 0.274, 0.000], [0.917, 0.976, 0.000], [0.917, 0.274, 0.500], [0.417, 0.976, 0.500], [0.917, 0.529, 0.000], [0.417, 0.721, 0.000], [0.417, 0.529, 0.500], [0.917, 0.721, 0.500]]}


{"formula": "Al2Cu2Te3Se", "functional": "PBE-GGA", "state": "optimized geometry", "total_energy_ev_per_atom": -3.8839, "lattice_angstrom": [[1.965, 6.899, 1.058], [-3.677, 5.685, 2.596], [1.958, -3.762, 4.216]], "species": ["Al", "Al", "Cu", "Cu", "Se", "Te", "Te", "Te"], "fractional_positions": [[0.758, 0.482, 0.383], [0.518, 0.242, 0.617], [0.993, 0.767, 0.141], [0.233, 0.007, 0.859], [0.878, 0.122, 0.500], [0.370, 0.630, 0.000], [0.125, 0.375, 0.241], [0.625, 0.875, 0.759]]}


{"formula": "Zr4PdPt", "functional": "PBE-GGA", "state": "optimized geometry", "formation_enthalpy_0k_kj_per_mol_atoms": -59.2, "m_tot_mub_per_fu": 0.00, "lattice_angstrom": [[-4.477, 1.324, -0.889], [-0.314, -3.956, -4.313], [-1.229, -0.315, 5.722]], "species": ["Pd", "Pt", "Zr", "Zr", "Zr", "Zr"], "fractional_positions": [[0.000, 0.254, 0.254], [0.500, 0.747, 0.747], [0.500, 0.405, 0.092], [0.500, 0.092, 0.405], [0.000, 0.907, 0.595], [0.000, 0.595, 0.907]]}


{"formula": "K2CuTcBr6", "functional": "PBE-GGA", "state": "optimized geometry", "m_tot_mub_per_fu": 2.96, "total_energy_ev_per_atom": -3.4277, "lattice_angstrom": [[0.000, 5.249, 5.249], [5.249, 0.000, 5.249], [5.249, 5.249, 0.000]], "species": ["Br", "Br", "Br", "Br", "Br", "Br", "Cu", "K", "K", "Tc"], "fractional_positions": [[0.253, 0.747, 0.253], [0.747, 0.253, 0.253], [0.747, 0.747, 0.253], [0.253, 0.747, 0.747], [0.253, 0.253, 0.747], [0.747, 0.253, 0.747], [0.000, 0.000, 0.000], [0.250, 0.250, 0.250], [0.750, 0.750, 0.750], [0.500, 0.500, 0.500]]}


{"formula": "LaGdMg6", "functional": "PBE-GGA", "state": "optimized geometry", "m_tot_mub_per_fu": 0.02, "total_energy_ev_per_atom": -2.4667, "lattice_angstrom": [[5.251, 0.000, 0.000], [0.000, 5.251, 0.000], [0.000, 0.000, 7.416]], "species": ["Gd", "La", "Mg", "Mg", "Mg", "Mg", "Mg", "Mg"], "fractional_positions": [[0.000, 0.000, 0.000], [0.500, 0.500, 0.500], [0.500, 0.500, 0.000], [0.500, 0.000, 0.243], [0.000, 0.500, 0.243], [0.000, 0.000, 0.500], [0.500, 0.000, 0.757], [0.000, 0.500, 0.757]]}


{"formula": "ErHg2", "functional": "PBE-GGA", "state": "optimized geometry", "formation_enthalpy_0k_kj_per_mol_atoms": -16.1, "m_tot_mub_per_fu": 0.00, "lattice_angstrom": [[-3.944, -3.451, -2.674], [-5.741, 0.720, 1.066], [-3.509, 2.224, -4.165]], "species": ["Er", "Er", "Hg", "Hg", "Hg", "Hg"], "fractional_positions": [[0.000, 0.000, 0.000], [0.250, 0.250, 0.250], [0.625, 0.625, 0.125], [0.625, 0.125, 0.625], [0.125, 0.625, 0.625], [0.625, 0.625, 0.625]]}


{"formula": "GdAsOsO", "functional": "PBE-GGA", "state": "optimized geometry", "e_above_lowest_polymorph_kj_per_mol_fu": 707, "m_tot_mub_per_fu": 0.01, "lattice_angstrom": [[-0.221, 3.494, -2.498], [-1.085, -2.466, -3.353], [-6.647, 0.733, 1.612]], "species": ["As", "As", "Gd", "Gd", "O", "O", "Os", "Os"], "fractional_positions": [[0.000, 0.500, 0.212], [0.500, 0.000, 0.788], [0.000, 0.000, 0.500], [0.500, 0.500, 0.500], [0.000, 0.000, 0.000], [0.500, 0.500, 0.000], [0.500, 0.000, 0.145], [0.000, 0.500, 0.855]]}


{"formula": "NaLuCdSe3", "functional": "PBE-GGA", "state": "optimized geometry", "e_above_lowest_polymorph_kj_per_mol_fu": 12, "m_tot_mub_per_fu": 0.00, "lattice_angstrom": [[-4.335, 1.694, -5.522], [-0.672, 0.861, -7.138], [-2.838, -10.535, -1.004]], "species": ["Cd", "Cd", "Lu", "Lu", "Na", "Na", "Se", "Se", "Se", "Se", "Se", "Se"], "fractional_positions": [[0.463, 0.463, 0.250], [0.537, 0.537, 0.750], [0.000, 0.000, 0.000], [0.000, 0.000, 0.500], [0.752, 0.752, 0.250], [0.248, 0.248, 0.750], [0.363, 0.363, 0.050], [0.086, 0.086, 0.250], [0.363, 0.363, 0.450], [0.637, 0.637, 0.550], [0.914, 0.914, 0.750], [0.637, 0.637, 0.950]]}


{"formula": "Ag15Sb", "functional": "PBE-GGA", "state": "optimized geometry", "e_above_lowest_polymorph_kj_per_mol_fu": 16, "lattice_angstrom": [[-5.726, -0.808, 0.212], [0.245, -2.226, -1.881], [5.368, -28.626, 34.566]], "species": ["Ag", "Ag", "Ag", "Ag", "Ag", "Ag", "Ag", "Ag", "Ag", "Ag", "Ag", "Ag", "Ag", "Ag", "Ag", "Ag", "Ag", "Ag", "Ag", "Ag", "Ag", "Ag", "Ag", "Ag", "Ag", "Ag", "Ag", "Ag", "Ag", "Ag", "Sb", "Sb"], "fractional_positions": [[0.375, 0.000, 0.156], [0.627, 0.500, 0.202], [0.123, 0.500, 0.202], [0.375, 0.000, 0.248], [0.875, 0.000, 0.249], [0.623, 0.500, 0.295], [0.128, 0.500, 0.295], [0.375, 0.000, 0.341], [0.875, 0.000, 0.341], [0.625, 0.500, 0.386], [0.125, 0.500, 0.386], [0.875, 0.000, 0.432], [0.375, 0.000, 0.432], [0.125, 0.500, 0.477], [0.625, 0.500, 0.477], [0.375, 0.000, 0.523], [0.875, 0.000, 0.523], [0.625, 0.500, 0.568], [0.125, 0.500, 0.568], [0.875, 0.000, 0.614], [0.375, 0.000, 0.614], [0.125, 0.500, 0.659], [0.625, 0.500, 0.659], [0.377, 0.000, 0.705], [0.872, 0.000, 0.705], [0.125, 0.500, 0.751], [0.625, 0.500, 0.752], [0.877, 0.000, 0.798], [0.373, 0.000, 0.798], [0.625, 0.500, 0.844], [0.874, 0.000, 0.150], [0.126, 0.500, 0.850]]}


{"formula": "CoBMoAu", "functional": "PBE-GGA", "state": "optimized geometry", "e_above_lowest_polymorph_kj_per_mol_fu": 114, "m_tot_mub_per_fu": 0.03, "lattice_angstrom": [[0.000, 2.980, 2.980], [2.980, 0.000, 2.980], [2.980, 2.980, 0.000]], "species": ["Au", "B", "Co", "Mo"], "fractional_positions": [[0.250, 0.250, 0.250], [0.000, 0.000, 0.000], [0.750, 0.750, 0.750], [0.500, 0.500, 0.500]]}


{"formula": "PPbAuO", "functional": "PBE-GGA", "state": "optimized geometry", "e_above_lowest_polymorph_kj_per_mol_fu": 82, "lattice_angstrom": [[3.836, 0.000, 0.000], [0.000, 6.798, 0.000], [0.000, 0.000, 6.855]], "species": ["Au", "Au", "O", "O", "P", "P", "Pb", "Pb"], "fractional_positions": [[0.000, 0.280, 0.044], [0.000, 0.720, 0.544], [0.000, 0.334, 0.372], [0.000, 0.666, 0.872], [0.500, 0.807, 0.370], [0.500, 0.193, 0.870], [0.500, 0.197, 0.468], [0.500, 0.803, 0.968]]}


{"formula": "MgPaO3", "functional": "PBE-GGA", "state": "optimized geometry", "m_tot_mub_per_fu": 1.00, "total_energy_ev_per_atom": -7.4055, "lattice_angstrom": [[3.806, 0.000, 0.000], [0.000, 3.806, 0.000], [0.000, 0.000, 3.806]], "species": ["Mg", "O", "O", "O", "Pa"], "fractional_positions": [[0.500, 0.500, 0.500], [0.500, 0.500, 0.000], [0.500, 0.000, 0.500], [0.000, 0.500, 0.500], [0.000, 0.000, 0.000]]}


{"formula": "BWN3", "functional": "PBE-GGA", "state": "optimized geometry", "m_tot_mub_per_fu": 0.00, "total_energy_ev_per_atom": -9.2601, "lattice_angstrom": [[-5.910, -0.832, -6.855], [5.973, -2.503, -4.846], [-0.930, -4.932, 1.401]], "species": ["B", "B", "B", "B", "B", "B", "B", "B", "N", "N", "N", "N", "N", "N", "N", "N", "N", "N", "N", "N", "N", "N", "N", "N", "N", "N", "N", "N", "N", "N", "N", "N", "W", "W", "W", "W", "W", "W", "W", "W"], "fractional_positions": [[0.290, 0.077, 0.064], [0.210, 0.577, 0.064], [0.710, 0.077, 0.436], [0.790, 0.577, 0.436], [0.210, 0.423, 0.564], [0.290, 0.923, 0.564], [0.790, 0.423, 0.936], [0.710, 0.923, 0.936], [0.119, 0.101, 0.077], [0.381, 0.601, 0.077], [0.376, 0.238, 0.085], [0.124, 0.738, 0.085], [0.843, 0.463, 0.215], [0.657, 0.963, 0.215], [0.157, 0.463, 0.285], [0.343, 0.963, 0.285], [0.624, 0.238, 0.415], [0.876, 0.738, 0.415], [0.881, 0.101, 0.423], [0.619, 0.601, 0.423], [0.381, 0.399, 0.577], [0.119, 0.899, 0.577], [0.124, 0.262, 0.585], [0.376, 0.762, 0.585], [0.657, 0.037, 0.715], [0.843, 0.537, 0.715], [0.343, 0.037, 0.785], [0.157, 0.537, 0.785], [0.876, 0.262, 0.915], [0.624, 0.762, 0.915], [0.619, 0.399, 0.923], [0.881, 0.899, 0.923], [0.000, 0.299, 0.250], [0.500, 0.384, 0.250], [0.500, 0.799, 0.250], [0.000, 0.884, 0.250], [0.000, 0.116, 0.750], [0.500, 0.201, 0.750], [0.500, 0.616, 0.750], [0.000, 0.701, 0.750]]}


{"formula": "Ga3Co3Ni2", "functional": "PBE-GGA", "state": "optimized geometry", "e_above_lowest_polymorph_kj_per_mol_fu": 61, "m_tot_mub_per_fu": 3.87, "lattice_angstrom": [[4.211, 0.000, 0.000], [0.000, 2.667, 4.293], [0.000, -2.667, 4.293]], "species": ["Co", "Co", "Co", "Ga", "Ga", "Ga", "Ni", "Ni"], "fractional_positions": [[0.000, 0.681, 0.152], [0.000, 0.152, 0.681], [0.500, 0.838, 0.838], [0.000, 0.179, 0.179], [0.500, 0.816, 0.341], [0.500, 0.341, 0.816], [0.500, 0.327, 0.327], [0.000, 0.666, 0.666]]}


{"formula": "Nb3SI3BrCl3", "functional": "PBE-GGA", "state": "optimized geometry", "e_above_lowest_polymorph_kj_per_mol_fu": 0, "m_tot_mub_per_fu": 0.00, "lattice_angstrom": [[7.328, 0.000, 0.000], [-3.664, 6.347, 0.000], [0.000, 0.000, 6.719]], "species": ["Br", "Cl", "Cl", "Cl", "I", "I", "I", "Nb", "Nb", "Nb", "S"], "fractional_positions": [[0.000, 0.000, 0.992], [0.012, 0.506, 0.024], [0.494, 0.506, 0.024], [0.494, 0.988, 0.024], [0.339, 0.170, 0.550], [0.830, 0.170, 0.550], [0.830, 0.661, 0.550], [0.202, 0.404, 0.790], [0.202, 0.798, 0.790], [0.596, 0.798, 0.790], [0.333, 0.667, 0.532]]}


{"formula": "Dy2Y4TmNi2Te2", "functional": "PBE-GGA", "state": "optimized geometry", "e_above_lowest_polymorph_kj_per_mol_fu": 3, "m_tot_mub_per_fu": 0.01, "lattice_angstrom": [[-1.927, 7.834, 4.808], [1.927, -7.834, 4.808], [1.927, 7.834, -4.808]], "species": ["Dy", "Dy", "Ni", "Ni", "Te", "Te", "Tm", "Y", "Y", "Y", "Y"], "fractional_positions": [[0.027, 0.895, 0.132], [0.763, 0.895, 0.868], [0.643, 0.404, 0.239], [0.165, 0.404, 0.761], [0.141, 0.141, 0.000], [0.740, 0.240, 0.500], [0.477, 0.477, 0.000], [0.413, 0.097, 0.316], [0.102, 0.747, 0.355], [0.393, 0.747, 0.645], [0.782, 0.097, 0.684]]}